Entry from Alexandria: Si2AsPtCl at its PBEsol-relaxed geometry (SCAN).

a b c (Å): 4.662 4.662 4.787
angles (deg): 90.00 90.00 90.00
Each line ends with the local moment (μB).
Fractional positions:
Cl: 0.000 0.000 0.500  0.10
Si: 0.000 0.500 0.000  0.01
Pt: 0.000 0.000 0.000  0.00
Si: 0.500 0.000 0.000  0.01
As: 0.500 0.500 0.500  0.36

Properties
E_form (uncorrected) ... 2.8 eV per formula unit

---

Entry from Alexandria: BaLi2Hg at its PBEsol-relaxed geometry (SCAN).

a b c (Å): 4.082 4.430 6.910
angles (deg): 90.00 106.40 90.00
Fractional positions:
Ba: 0.472 0.000 0.554
Li: 0.739 0.500 0.109
Li: 0.196 0.000 0.030
Hg: 0.093 0.500 0.807

Properties
Energy relative to the elements ... -318.3 meV/atom

---

Entry from Alexandria: Y3ZnRe at its PBEsol-relaxed geometry (SCAN).

a b c (Å): 5.109 5.109 5.109
angles (deg): 90.00 90.00 90.00
Each line ends with the local moment (μB).
Fractional positions:
Y: 0.000 0.500 0.000  -0.15
Y: 0.500 0.000 0.000  -0.15
Zn: 0.000 0.000 0.000  -0.03
Y: 0.000 0.000 0.500  -0.15
Re: 0.500 0.500 0.500  1.25

Properties
Energy relative to the elements ... 976.2 meV/atom

---

Entry from Alexandria: TaTlCuSe2 at its PBEsol-relaxed geometry (SCAN).

a b c (Å): 4.873 4.873 5.634
angles (deg): 90.00 90.00 90.00
Each line ends with the local moment (μB).
Fractional positions:
Cu: 0.500 0.500 0.500  0.15
Se: 0.000 0.500 0.000  0.04
Ta: 0.000 0.000 0.000  0.18
Se: 0.500 0.000 0.000  0.04
Tl: 0.000 0.000 0.500  0.03

Properties
E_form (uncorrected) ... 2.3 eV per formula unit

---

Entry from Alexandria: TcHg3Br at its PBEsol-relaxed geometry (SCAN).

a b c (Å): 5.274 5.274 5.274
angles (deg): 90.00 90.00 90.00
Each line ends with the local moment (μB).
Fractional positions:
Tc: 0.000 0.000 0.000  2.75
Hg: 0.000 0.500 0.000  0.05
Br: 0.500 0.500 0.500  0.09
Hg: 0.500 0.000 0.000  0.05
Hg: 0.000 0.000 0.500  0.05

Properties
E_form (uncorrected) ... 2.2 eV per formula unit

---

Entry from Alexandria: KZrCr2 at its PBEsol-relaxed geometry (SCAN).

a b c (Å): 4.883 4.883 4.883
angles (deg): 60.00 60.00 60.00
Each line ends with the local moment (μB).
Fractional positions:
K: 0.000 0.000 0.000  0.02
Cr: 0.750 0.750 0.750  3.55
Cr: 0.250 0.250 0.250  3.55
Zr: 0.500 0.500 0.500  -0.61

Properties
Energy relative to the lowest polymorph listed for this composition ... 0.625 eV/atom
Energy relative to the elements ... 1102.4 meV/atom

---

Entry from Alexandria: FeCoAg2 at its PBEsol-relaxed geometry (SCAN).

a b c (Å): 2.652 4.764 4.764
angles (deg): 112.81 90.00 90.00
Each line ends with the local moment (μB).
Fractional positions:
Co: 0.500 0.000 0.000  2.00
Ag: 0.000 0.500 0.000  -0.03
Fe: 0.500 0.500 0.500  3.15
Ag: 0.000 0.000 0.500  -0.03

Properties
Energy relative to the elements ... 379.4 meV/atom

---

Entry from Alexandria: CoTcMo at its PBEsol-relaxed geometry (SCAN).

a b c (Å): 2.608 2.608 6.040
angles (deg): 102.47 102.47 90.00
Each line ends with the local moment (μB).
Fractional positions:
Mo: 0.657 0.657 0.315  0.01
Co: 0.995 0.995 0.990  1.01
Tc: 0.347 0.347 0.695  0.01

Properties
Energy relative to the lowest polymorph listed for this composition ... 0.000 eV/atom
Energy relative to the elements ... 160.4 meV/atom

---

Entry from Alexandria: CrTcW at its PBEsol-relaxed geometry (SCAN).

a b c (Å): 4.135 4.135 4.135
angles (deg): 60.00 60.00 60.00
Each line ends with the local moment (μB).
Fractional positions:
Tc: 0.500 0.500 0.500  0.40
W: 0.250 0.250 0.250  -0.40
Cr: 0.000 0.000 0.000  2.86

Properties
Energy relative to the lowest polymorph listed for this composition ... 0.716 eV/atom
Energy relative to the elements ... 739.2 meV/atom

---

Entry from Alexandria: FeReB2Se at its PBEsol-relaxed geometry (SCAN).

a b c (Å): 3.771 3.771 4.581
angles (deg): 90.00 90.00 90.00
Fractional positions:
B: 0.500 0.000 0.000
Re: 0.000 0.000 0.500
Se: 0.500 0.500 0.500
B: 0.000 0.500 0.000
Fe: 0.000 0.000 0.000

Properties
E_form (uncorrected) ... 6.1 eV per formula unit

---

Entry from Alexandria: LiCdCuPt2 at its PBEsol-relaxed geometry (SCAN).

a b c (Å): 4.079 4.594 4.594
angles (deg): 90.00 90.00 90.00
Fractional positions:
Cu: 0.000 0.000 0.000
Cd: 0.500 0.500 0.500
Pt: 0.000 0.500 0.000
Pt: 0.000 0.000 0.500
Li: 0.500 0.000 0.000

Properties
Energy relative to the elements ... 225.3 meV/atom

---

Entry from Alexandria: ZrCdHg2 at its PBEsol-relaxed geometry (SCAN).

a b c (Å): 3.154 3.154 9.954
angles (deg): 80.89 80.89 60.00
Fractional positions:
Hg: 0.750 0.750 0.749
Cd: 0.000 0.000 0.000
Zr: 0.500 0.500 0.500
Hg: 0.250 0.250 0.251

Properties
Energy relative to the elements ... -72.9 meV/atom

---

Entry from Alexandria: TcRu2Cl at its PBEsol-relaxed geometry (SCAN).

a b c (Å): 2.782 2.782 7.057
angles (deg): 90.00 90.00 90.00
Fractional positions:
Tc: 0.000 0.000 0.501
Ru: 0.500 0.500 0.256
Ru: 0.000 0.000 0.999
Cl: 0.500 0.500 0.743

Properties
E_form (uncorrected) ... 2.1 eV per formula unit

---

Entry from Alexandria: MgTlBF2 at its PBEsol-relaxed geometry (SCAN).

a b c (Å): 3.736 3.736 5.521
angles (deg): 90.00 90.00 90.00
Each line ends with the local moment (μB).
Fractional positions:
Mg: 0.000 0.000 0.000  0.02
B: 0.000 0.000 0.500  0.37
F: 0.000 0.500 0.000  0.04
Tl: 0.500 0.500 0.500  0.03
F: 0.500 0.000 0.000  0.04

Properties
E_form (uncorrected) ... -6.5 eV per formula unit

---

Entry from Alexandria: CrAg3F6 at its PBEsol-relaxed geometry (SCAN).

a b c (Å): 5.881 5.881 5.881
angles (deg): 60.00 60.00 60.00
Each line ends with the local moment (μB).
Fractional positions:
Ag: 0.250 0.250 0.250  0.01
F: 0.774 0.226 0.226  0.01
Ag: 0.500 0.500 0.500  -0.10
Ag: 0.750 0.750 0.750  0.01
F: 0.774 0.226 0.774  0.01
F: 0.774 0.774 0.226  0.01
F: 0.226 0.774 0.774  0.01
F: 0.226 0.226 0.774  0.01
F: 0.226 0.774 0.226  0.01
Cr: 0.000 0.000 0.000  2.85

Properties
E_form (uncorrected) ... -18.2 eV per formula unit

---

Entry from Alexandria: SrSi2P at its PBEsol-relaxed geometry (SCAN).

a b c (Å): 4.134 4.134 4.470
angles (deg): 90.00 90.00 90.00
Fractional positions:
Si: 0.500 0.000 0.000
P: 0.000 0.000 0.500
Si: 0.000 0.500 0.000
Sr: 0.500 0.500 0.500

Properties
E_form (uncorrected) ... 0.8 eV per formula unit

---

Entry from Alexandria: Pt3Au at its PBEsol-relaxed geometry (SCAN).

a b c (Å): 2.739 4.775 5.509
angles (deg): 115.69 104.40 90.00
Fractional positions:
Pt: 0.500 0.500 0.000
Pt: 0.245 0.745 0.490
Pt: 0.755 0.255 0.510
Au: 0.000 0.000 0.000

Properties
Energy relative to the elements ... 81.8 meV/atom

---

Entry from Alexandria: KSrOs3 at its PBEsol-relaxed geometry (SCAN).

a b c (Å): 4.705 4.705 4.705
angles (deg): 90.00 90.00 90.00
Fractional positions:
Os: 0.500 0.000 0.000
Sr: 0.500 0.500 0.500
Os: 0.000 0.000 0.500
K: 0.000 0.000 0.000
Os: 0.000 0.500 0.000

Properties
Energy relative to the elements ... 3393.0 meV/atom

---

Entry from Alexandria: CuRu2Cl at its PBEsol-relaxed geometry (SCAN).

a b c (Å): 2.712 4.359 4.656
angles (deg): 90.00 90.00 90.00
Fractional positions:
Ru: 0.500 0.000 0.500
Cu: 0.000 0.500 0.500
Cl: 0.500 0.500 0.000
Ru: 0.000 0.000 0.000

Properties
E_form (uncorrected) ... 3.5 eV per formula unit
Energy relative to the lowest polymorph listed for this composition ... 0.628 eV/atom

---

Entry from Alexandria: ScSiTe at its PBEsol-relaxed geometry (SCAN).

a b c (Å): 3.679 4.573 4.573
angles (deg): 120.00 90.00 90.00
Fractional positions:
Si: 0.833 0.333 0.667
Te: 0.333 0.667 0.333
Sc: 0.834 0.000 0.000

Properties
E_form (uncorrected) ... -0.2 eV per formula unit

---

Entry from Alexandria: Ba3OsC at its PBEsol-relaxed geometry (SCAN).

a b c (Å): 5.371 5.371 5.371
angles (deg): 90.00 90.00 90.00
Each line ends with the local moment (μB).
Fractional positions:
Ba: 0.000 0.000 0.500  -0.04
Ba: 0.000 0.500 0.000  -0.04
Os: 0.500 0.500 0.500  1.10
C: 0.000 0.000 0.000  0.05
Ba: 0.500 0.000 0.000  -0.04

Properties
Energy relative to the lowest polymorph listed for this composition ... 0.000 eV/atom
Energy relative to the elements ... 1182.4 meV/atom

---

Entry from Alexandria: CrHW3 at its PBEsol-relaxed geometry (SCAN).

a b c (Å): 3.956 3.956 3.956
angles (deg): 90.00 90.00 90.00
Fractional positions:
W: 0.000 0.500 0.000
Cr: 0.500 0.500 0.500
H: 0.000 0.000 0.000
W: 0.000 0.000 0.500
W: 0.500 0.000 0.000

Properties
DFT total energy ... -228.478 eV/cell

---

Entry from Alexandria: NaCaFe2Si4O12 at its PBEsol-relaxed geometry (SCAN).

a b c (Å): 6.126 7.223 7.223
angles (deg): 83.57 67.52 67.52
Each line ends with the local moment (μB).
Fractional positions:
Si: 0.997 0.756 0.631  0.01
O: 0.659 0.539 0.649  0.09
O: 0.146 0.138 0.155  -0.04
Si: 0.510 0.376 0.227  0.00
O: 0.276 0.783 0.537  0.00
O: 0.372 0.905 0.828  -0.06
O: 0.841 0.938 0.490  0.00
O: 0.674 0.872 0.430  0.00
Si: 0.003 0.369 0.244  0.01
O: 0.854 0.845 0.862  -0.04
O: 0.628 0.172 0.095  -0.06
Na: 0.500 0.291 0.709  0.01
O: 0.326 0.570 0.128  0.00
Ca: 0.000 0.900 0.100  0.00
O: 0.159 0.510 0.062  0.00
Fe: 0.500 0.000 0.000  -3.61
O: 0.341 0.351 0.461  0.09
O: 0.724 0.463 0.217  0.00
Fe: 0.000 0.450 0.550  2.53
Si: 0.490 0.773 0.624  0.00

Properties
E_form (uncorrected) ... -40.4 eV per formula unit

---

Entry from Alexandria: ZrTcW at its PBEsol-relaxed geometry (SCAN).

a b c (Å): 3.168 3.168 5.471
angles (deg): 106.83 106.83 90.00
Fractional positions:
W: 0.655 0.655 0.309
Zr: 0.337 0.337 0.673
Tc: 0.009 0.009 0.018

Properties
Energy relative to the elements ... -184.1 meV/atom

---

Entry from Alexandria: KRb2ZrOF5 at its PBEsol-relaxed geometry (SCAN).

a b c (Å): 6.419 6.463 6.419
angles (deg): 60.22 90.00 119.78
Each line ends with the local moment (μB).
Fractional positions:
Rb: 0.269 0.539 0.231  0.00
F: 0.762 0.974 0.238  0.00
F: 0.212 0.974 0.238  0.00
F: 0.212 0.974 0.788  0.00
F: 0.777 0.555 0.223  0.01
Rb: 0.769 0.539 0.731  0.00
O: 0.219 0.438 0.781  0.07
Zr: 0.017 0.033 0.983  0.01
F: 0.762 0.974 0.788  0.00
K: 0.501 0.001 0.499  0.00

Properties
E_form (uncorrected) ... -33.2 eV per formula unit

---

Entry from Alexandria: TlZnRu at its PBEsol-relaxed geometry (SCAN).

a b c (Å): 3.231 3.231 5.263
angles (deg): 107.88 107.88 90.00
Fractional positions:
Tl: 0.337 0.337 0.674
Ru: 0.022 0.022 0.043
Zn: 0.641 0.641 0.283

Properties
Energy relative to the elements ... 359.5 meV/atom

---

Entry from Alexandria: KCdAs2 at its PBEsol-relaxed geometry (SCAN).

a b c (Å): 4.642 5.319 4.642
angles (deg): 64.13 90.00 115.87
Fractional positions:
Cd: 0.500 0.000 0.500
K: 0.000 0.000 0.000
As: 0.250 0.500 0.250
As: 0.750 0.500 0.750

Properties
Energy relative to the elements ... 111.0 meV/atom

---

Entry from Alexandria: Ca2MgZr at its PBEsol-relaxed geometry (SCAN).

a b c (Å): 3.559 5.725 5.725
angles (deg): 90.00 90.00 90.00
Each line ends with the local moment (μB).
Fractional positions:
Zr: 0.500 0.000 0.000  1.15
Ca: 0.000 0.000 0.500  0.08
Mg: 0.500 0.500 0.500  -0.01
Ca: 0.000 0.500 0.000  0.08

Properties
Energy relative to the elements ... 331.0 meV/atom